Below is a PBEsol-optimized structure of BPbSe2N, with properties calculated at the SCAN level.

a b c (Å): 2.719 5.923 5.923
angles (deg): 90.00 90.00 90.00
Element x y z (fractional)
Pb: 0.500 0.500 0.500
B: 0.000 0.000 0.000
Se: 0.000 0.000 0.500
Se: 0.000 0.500 0.000
N: 0.500 0.000 0.000

## Properties
The value obtained for the total moment is 0.0 μB per cell. The density of states at the Fermi level is 3.59 states/eV/cell. The value obtained for the formation energy without anion corrections is 70 meV per atom.